1.
A relaxed structure of Cs2RbSnTe4. Source: the Alexandria database, functional GGA-PBE.

Cell and atoms, written as POSCAR:
```
Cs2RbSnTe4
1.0
7.6361 0.0000 0.0000
3.8181 8.4474 0.0000
3.8181 0.0000 13.0659
Cs Rb Sn Te
4 2 2 8
direct
0.9378 0.5000 0.1244 Cs
0.1878 0.0000 0.6244 Cs
0.5622 0.5000 0.8756 Cs
0.8122 0.0000 0.3756 Cs
0.7500 0.5000 0.5000 Rb
0.0000 0.0000 0.0000 Rb
0.2500 0.5000 0.5000 Sn
0.5000 0.0000 0.0000 Sn
0.2428 0.2907 0.3649 Te
0.3924 0.7093 0.3649 Te
0.5072 0.2093 0.1351 Te
0.4666 0.2907 0.6351 Te
0.8983 0.7093 0.6351 Te
0.3576 0.7907 0.1351 Te
0.2834 0.2093 0.8649 Te
0.8517 0.7907 0.8649 Te
```

Values from the calculation:
As for the space group: No. 70. The value obtained for the uncorrected formation energy is -0.613 eV per atom.

***

2.
A relaxed structure of Sm8CdHg2. Source: the Alexandria database, functional GGA-PBE.

Cell and atoms, written as POSCAR:
```
Sm8CdHg2
1.0
5.2001 0.0000 -1.6791
-1.3386 7.5109 -4.1455
-0.0695 -0.1820 8.6763
Sm Hg Cd
8 2 1
direct
0.4073 0.5488 0.8146 Sm
0.1383 0.1910 0.2766 Sm
0.6807 0.9495 0.3614 Sm
0.0695 0.7222 0.1390 Sm
0.9305 0.2778 0.8610 Sm
0.8617 0.8090 0.7234 Sm
0.5927 0.4512 0.1854 Sm
0.3193 0.0505 0.6386 Sm
0.7720 0.3771 0.5441 Hg
0.2280 0.6229 0.4559 Hg
0.5000 0.0000 0.0000 Cd
```

Values from the calculation:
Its formation energy is -0.215 eV/atom. As for the space group: No. 12.

***

3.
A relaxed structure of Ho3Tm2Sc4. Source: the Alexandria database, functional GGA-PBE.

Cell and atoms, written as POSCAR:
```
Ho3Tm2Sc4
1.0
-2.1695 1.8344 5.0686
-10.4450 -1.9285 1.9605
-2.6302 -7.4942 7.3197
Ho Sc Tm
6 8 4
direct
0.2112 0.9330 0.7422 Ho
0.7888 0.0670 0.2578 Ho
0.7500 0.3986 0.6014 Ho
0.2500 0.6014 0.3986 Ho
0.7112 0.7422 0.9330 Ho
0.2888 0.2578 0.0670 Ho
0.9035 0.8630 0.5778 Sc
0.9367 0.1812 0.9023 Sc
0.5965 0.4222 0.1370 Sc
0.0633 0.8188 0.0977 Sc
0.0965 0.1370 0.4222 Sc
0.4035 0.5778 0.8630 Sc
0.5633 0.0977 0.8188 Sc
0.4367 0.9023 0.1812 Sc
0.9401 0.5129 0.2317 Tm
0.4401 0.2317 0.5129 Tm
0.5599 0.7683 0.4871 Tm
0.0599 0.4871 0.7683 Tm
```

Values from the calculation:
Its formation energy is 0.117 eV/atom. As for the space group: No. 15.

***

4.
A relaxed structure of SiHgOs2. Source: the Alexandria database, functional GGA-PBE.

Cell and atoms, written as POSCAR:
```
SiHgOs2
1.0
5.3395 -0.0175 0.0048
2.5051 4.7154 -0.0048
-3.2865 -3.4106 2.4652
Hg Os Si
1 2 1
direct
0.2500 0.7500 0.5000 Hg
0.5376 0.5376 0.0000 Os
0.9624 0.9624 0.0000 Os
0.7500 0.2500 0.5000 Si
```

Values from the calculation:
As for the space group: No. 71. The value obtained for the uncorrected formation energy is 0.453 eV per atom.

***

5.
A relaxed structure of Sr2Se2ClO6. Source: the Alexandria database, functional GGA-PBE.

Cell and atoms, written as POSCAR:
```
Sr2Se2ClO6
1.0
5.6828 -1.5059 -1.1943
1.2642 6.1544 0.8524
-0.7715 -1.9648 6.4526
Sr Se O Cl
2 2 6 1
direct
0.6873 0.4286 0.7666 Sr
0.3127 0.5714 0.2334 Sr
0.7185 0.2452 0.2095 Se
0.2815 0.7548 0.7905 Se
0.2897 0.5428 0.5974 O
0.7103 0.4572 0.4026 O
0.4779 0.2647 0.0238 O
0.9350 0.3293 0.1009 O
0.5221 0.7353 0.9762 O
0.0650 0.6707 0.8991 O
0.5000 0.0000 0.5000 Cl
```

Values from the calculation:
As for the space group: No. 2. The value obtained for the uncorrected formation energy is -1.654 eV per atom.

***

6.
A relaxed structure of SmICl. Source: the Alexandria database, functional GGA-PBE.

Cell and atoms, written as POSCAR:
```
SmICl
1.0
-1.5139 4.2388 -2.4236
2.1722 -1.6941 -4.3198
-7.9047 -0.6252 -3.7221
I Sm Cl
2 2 2
direct
0.0692 0.7503 0.2577 I
0.9308 0.2497 0.7423 I
0.2498 0.2499 0.0002 Sm
0.7502 0.7501 0.9998 Sm
0.3764 0.7498 0.8197 Cl
0.6236 0.2502 0.1803 Cl
```

Values from the calculation:
As for the space group: No. 2. The value obtained for the uncorrected formation energy is -1.604 eV per atom.

***

How do the records compare in total moment? In the order shown, they have 0.0 0.0 0.0 0.0 0.8 0.0 μB per formula unit.